A plane-wave DFT calculation with GGA-PBEsol was carried out for a geometry-optimized GeHO2F structure.

POSCAR file:
```
GeHO2F
1.0
3.6052 0.0000 0.0000
0.0000 3.6052 0.0000
0.0000 0.0000 3.8304
O Ge F H
2 1 1 1
Cartesian
1.8026 0.0000 0.0000
0.0000 1.8026 0.0000
0.0000 0.0000 0.0000
0.0000 0.0000 1.9152
1.8026 1.8026 1.9152
```

Computed properties:
- ρ: 4.16 g/cm3
- Electronic total energy: -4.730 eV/atom
- Space-group type: P4/mmm